Record 1
# GGA-PBE TmMgScRu, optimized geometry
# E_form in meV per atom: -256.9
# E in eV per atom: -5.68
data_TmMgScRu
_symmetry_space_group_name_H-M 'P 1'
_symmetry_Int_Tables_number 1
_symmetry_space_group_name_Hall 'P 1'
_cell_length_a 4.850
_cell_length_b 4.850
_cell_length_c 4.850
_cell_angle_alpha 60.00
_cell_angle_beta 60.00
_cell_angle_gamma 60.00
loop_
_atom_site_label
_atom_site_fract_x
_atom_site_fract_y
_atom_site_fract_z
Tm1 0.000 0.000 0.000
Mg1 0.250 0.250 0.250
Sc1 0.500 0.500 0.500
Ru1 0.750 0.750 0.750

=====

Record 2
# GGA-PBE MgSc2V2Ru5, optimized geometry
# E_form in meV per atom: -215.3
# E in eV per atom: -8.10
data_MgSc2V2Ru5
_symmetry_space_group_name_H-M 'P 1'
_symmetry_Int_Tables_number 1
_symmetry_space_group_name_Hall 'P 1'
_cell_length_a 9.991
_cell_length_b 9.991
_cell_length_c 3.223
_cell_angle_alpha 90.00
_cell_angle_beta 90.00
_cell_angle_gamma 90.00
loop_
_atom_site_label
_atom_site_fract_x
_atom_site_fract_y
_atom_site_fract_z
Mg1 0.000 0.000 0.000
Mg2 0.500 0.500 0.000
Sc1 0.171 0.329 0.000
Sc2 0.329 0.829 0.000
Sc3 0.671 0.171 0.000
Sc4 0.829 0.671 0.000
V1 0.130 0.630 0.000
V2 0.370 0.130 0.000
V3 0.630 0.870 0.000
V4 0.870 0.370 0.000
Ru1 0.000 0.500 0.500
Ru2 0.070 0.795 0.500
Ru3 0.205 0.070 0.500
Ru4 0.295 0.570 0.500
Ru5 0.430 0.295 0.500
Ru6 0.500 0.000 0.500
Ru7 0.570 0.705 0.500
Ru8 0.705 0.430 0.500
Ru9 0.795 0.930 0.500
Ru10 0.930 0.205 0.500

=====

- The lowest E belongs to which entry?
  MgSc2V2Ru5

=====

- E of number 1 (TmMgScRu)?
  -5.68 eV per atom